# LaYCd2O

A relaxed structure of LaYCd2O (PBE-GGA, the Alexandria database).

Summary:
density of states at the Fermi level	4.4	states/eV/cell
ΔE_f (raw)	-795	meV per atom

Lattice parameters (Å, degrees): 5.619 4.323 5.619 90.00 90.00 90.00
Sites, in units of the cell vectors:
Cd 0.000 0.000 0.500
Cd 0.500 0.000 0.000
O 0.000 0.000 0.000
La 0.000 0.500 0.000
Y 0.500 0.500 0.500